First-principles (PBE) data for a geometry-optimized Tm6Sn3H structure, as listed in Alexandria. Values from VASP.

Values from the calculation:
Magnetization (μB per cell): 0.00
Final energy (eV per atom): -4.669
Fermi-level density of states (states/eV per atom): 0.86

The structure in Quantum ESPRESSO input format:
```
&SYSTEM
  ibrav = 0, nat = 20, ntyp = 3
/
ATOMIC_SPECIES
Tm 168.93 Tm.upf
Sn 118.71 Sn.upf
H 1.01 H.upf
CELL_PARAMETERS angstrom
-0.9858 4.5729 3.8958
-8.8590 0.2286 -2.5101
-0.3313 -6.0105 6.9713
ATOMIC_POSITIONS crystal
Tm 0.2263 0.4605 0.8948
Tm 0.7263 0.8948 0.4605
Tm 0.2263 0.1052 0.5395
Tm 0.2548 0.7004 0.2996
Tm 0.5221 0.9076 0.0924
Tm 0.6410 0.6649 0.7702
Tm 0.1410 0.3351 0.2298
Tm 0.1410 0.7702 0.6649
Tm 0.7548 0.2996 0.7004
Tm 0.7263 0.5395 0.1052
Tm 0.0221 0.0924 0.9076
Tm 0.6410 0.2298 0.3351
Sn 0.3356 0.4541 0.5459
Sn 0.8356 0.5459 0.4541
Sn 0.0240 0.7657 0.9882
Sn 0.5240 0.9882 0.7657
Sn 0.5240 0.2343 0.0118
Sn 0.0240 0.0118 0.2343
H 0.5903 0.7538 0.2462
H 0.0903 0.2462 0.7538
```